Density functional theory data (PBE) for ZrTc2Mo after structural relaxation.

Geometry as extended XYZ:
```
8
Lattice="-3.603 3.603 2.751 3.603 -3.603 2.751 3.603 3.603 -2.751" Properties=species:S:1:pos:R:3 pbc="T T T"
Zr 0.000 0.000 0.000
Zr 0.000 3.603 1.375
Tc 1.801 -1.605 2.063
Tc 1.998 1.801 0.688
Tc 1.801 5.207 -0.688
Tc 1.605 1.801 3.438
Mo 3.603 0.000 1.375
Mo 0.000 0.000 2.751
```

Summary:
DFT formation energy (eV/atom): 0.49
Density of states at the Fermi level (states/eV/f.u.): 4.363
SG: I-42d (122)
Calculated total energy (eV/f.u.): -38.17
Volume (Å³/cell): 143